Computed, not measured: CaBi2Sb at its PBEsol-relaxed geometry at the SCAN level of DFT.

As for the raw formation energy: -18 meV/atom. The space group is I-42d.

a b c (Å): 7.332 7.332 8.283
angles (deg): 116.27 116.27 90.00
Element x y z (fractional)
Sb 0.250 0.750 0.500
Sb 0.000 0.000 0.000
Ca 0.750 0.250 0.500
Ca 0.500 0.500 0.000
Bi 0.351 0.875 0.250
Bi 0.899 0.375 0.250
Bi 0.125 0.101 0.750
Bi 0.625 0.649 0.750

Computed, not measured: SrNiPt2 at its PBEsol-relaxed geometry at the SCAN level of DFT.

The energy of formation from the pure elements comes out at -61 meV per atom. The space group is Cmmm.

a b c (Å): 2.904 4.977 4.977
angles (deg): 110.11 89.97 89.97
Each line ends with the local moment (μB).
Element x y z (fractional)
Ni 0.500 0.000 0.000  0.89
Pt 0.000 0.500 0.000  0.07
Pt 0.000 0.000 0.500  0.07
Sr 0.500 0.500 0.500  -0.02

Computed, not measured: YCd2 at its PBEsol-relaxed geometry at the SCAN level of DFT.

The energy of formation from the pure elements comes out at -406 meV per atom. The space group is Fd-3m.

a b c (Å): 5.799 5.799 5.799
angles (deg): 60.00 60.00 60.00
Element x y z (fractional)
Y 0.750 0.750 0.750
Y 0.500 0.500 0.500
Cd 0.125 0.125 0.625
Cd 0.125 0.625 0.125
Cd 0.125 0.125 0.125
Cd 0.625 0.125 0.125

| no. | magnetization (μB/cell) |
| --- | --- |
| 1 | 0.00 |
| 2 | 0.90 |
| 3 | 0.00 |